[1]
AgPt3: optimized geometry, GGA-PBE.

Lattice parameters (Å, degrees): 9.359 2.799 4.972 90.00 99.54 90.00
Atoms (fractional coordinates):
Ag1 0.000 0.000 0.000
Ag2 0.500 0.500 0.000
Pt1 0.000 0.500 0.500
Pt2 0.246 0.000 0.743
Pt3 0.254 0.500 0.257
Pt4 0.500 0.000 0.500
Pt5 0.746 0.500 0.743
Pt6 0.754 0.000 0.257

## Properties
The formation energy is 0.03 eV per atom. As for the symmetry: No. 12.

[2]
As3Br: optimized geometry, GGA-PBE.

Lattice parameters (Å, degrees): 3.497 3.497 7.230 90.00 90.00 90.00
Atoms (fractional coordinates):
As1 0.000 0.000 0.000
As2 0.500 0.500 0.187
As3 0.500 0.500 0.813
Br1 0.000 0.000 0.500

## Properties
As for the symmetry: No. 123. The value obtained for the formation energy (no corrections) is 24.0 kJ/mol of atoms. As for the distance to the lowest polymorph of the same formula: 159.4 meV/atom.

[3]
LiGd2Ni: optimized geometry, GGA-PBE.

Lattice parameters (Å, degrees): 3.483 3.483 7.672 90.00 90.00 90.00
Atoms (fractional coordinates):
Li1 0.000 0.000 0.000
Gd1 0.500 0.500 0.291
Gd2 0.500 0.500 0.709
Ni1 0.000 0.000 0.500

## Properties
The formation energy is -0.13 eV per atom. As for the symmetry: No. 123.

[4]
Ca2PdBr: optimized geometry, GGA-PBE.

Lattice parameters (Å, degrees): 7.398 7.398 7.398 90.00 90.00 90.00
Atoms (fractional coordinates):
Ca1 0.250 0.250 0.250
Ca2 0.250 0.250 0.750
Ca3 0.250 0.750 0.250
Ca4 0.250 0.750 0.750
Ca5 0.750 0.250 0.250
Ca6 0.750 0.250 0.750
Ca7 0.750 0.750 0.250
Ca8 0.750 0.750 0.750
Pd1 0.000 0.000 0.000
Pd2 0.000 0.500 0.500
Pd3 0.500 0.000 0.500
Pd4 0.500 0.500 0.000
Br1 0.000 0.000 0.500
Br2 0.000 0.500 0.000
Br3 0.500 0.000 0.000
Br4 0.500 0.500 0.500

## Properties
As for the symmetry: No. 225. The value obtained for the formation energy (no corrections) is -78.4 kJ/mol of atoms. As for the distance to the lowest polymorph of the same formula: 243.5 meV/atom.

[5]
TlH2Pd2: optimized geometry, GGA-PBE.

Lattice parameters (Å, degrees): 5.054 5.673 5.815 63.27 64.86 64.63
Atoms (fractional coordinates):
Tl1 0.105 0.253 0.249
Tl2 0.895 0.747 0.751
H1 0.146 0.130 0.807
H2 0.418 0.619 0.309
H3 0.582 0.381 0.691
H4 0.854 0.870 0.193
Pd1 0.263 0.767 0.027
Pd2 0.458 0.255 0.529
Pd3 0.542 0.745 0.471
Pd4 0.737 0.233 0.973

## Properties
As for the symmetry: No. 2. As for the distance to the lowest polymorph of the same formula: 24.5 meV/atom.

[6]
ZnSe2Br: optimized geometry, GGA-PBE.

Lattice parameters (Å, degrees): 3.205 3.205 34.737 90.00 90.00 120.00
Atoms (fractional coordinates):
Zn1 0.000 0.000 0.000
Zn2 0.333 0.667 0.667
Zn3 0.667 0.333 0.333
Se1 0.000 0.000 0.280
Se2 0.000 0.000 0.720
Se3 0.333 0.667 0.387
Se4 0.333 0.667 0.947
Se5 0.667 0.333 0.053
Se6 0.667 0.333 0.613
Br1 0.000 0.000 0.500
Br2 0.333 0.667 0.167
Br3 0.667 0.333 0.833

## Properties
As for the symmetry: No. 166. The value obtained for the formation energy (no corrections) is 12.9 kJ/mol of atoms. As for the distance to the lowest polymorph of the same formula: 425.0 meV/atom.

[7]
PrCu2AsN: optimized geometry, GGA-PBE.

Lattice parameters (Å, degrees): 6.203 6.203 7.094 90.00 90.00 145.07
Atoms (fractional coordinates):
Pr1 0.037 0.963 0.750
Pr2 0.963 0.037 0.250
Cu1 0.337 0.663 0.558
Cu2 0.337 0.663 0.942
Cu3 0.663 0.337 0.058
Cu4 0.663 0.337 0.442
As1 0.237 0.763 0.250
As2 0.763 0.237 0.750
N1 0.500 0.500 0.000
N2 0.500 0.500 0.500

## Properties
As for the symmetry: No. 63. The value obtained for the formation energy (no corrections) is -52.3 kJ/mol of atoms.

[8]
ScReNO2: optimized geometry, GGA-PBE.

Lattice parameters (Å, degrees): 3.914 3.914 3.886 90.00 90.00 90.00
Atoms (fractional coordinates):
Sc1 0.000 0.000 0.000
Re1 0.500 0.500 0.500
N1 0.500 0.500 0.000
O1 0.000 0.500 0.500
O2 0.500 0.000 0.500

## Properties
As for the symmetry: No. 123. The value obtained for the formation energy (no corrections) is -105.6 kJ/mol of atoms.

[9]
Dy12Tm7Sc: optimized geometry, GGA-PBE.

Lattice parameters (Å, degrees): 11.254 11.254 11.254 116.87 116.87 116.87
Atoms (fractional coordinates):
Dy1 0.001 0.415 0.585
Dy2 0.079 0.080 0.432
Dy3 0.080 0.432 0.079
Dy4 0.415 0.585 0.001
Dy5 0.415 0.999 0.585
Dy6 0.432 0.079 0.080
Dy7 0.568 0.921 0.920
Dy8 0.585 0.001 0.415
Dy9 0.585 0.415 0.999
Dy10 0.920 0.568 0.921
Dy11 0.921 0.920 0.568
Dy12 0.999 0.585 0.415
Tm1 0.000 0.000 0.000
Tm2 0.142 0.384 0.383
Tm3 0.383 0.142 0.384
Tm4 0.384 0.383 0.142
Tm5 0.616 0.617 0.858
Tm6 0.617 0.858 0.616
Tm7 0.858 0.616 0.617
Sc1 0.500 0.500 0.500

## Properties
The formation energy is 0.25 eV per atom. As for the symmetry: No. 148. As for the distance to the lowest polymorph of the same formula: 62.1 meV/atom.

[10]
Th7Tl2Hg2: optimized geometry, GGA-PBE.

Lattice parameters (Å, degrees): 7.402 7.402 6.704 101.75 101.75 101.12
Atoms (fractional coordinates):
Th1 0.000 0.000 0.000
Th2 0.075 0.561 0.786
Th3 0.309 0.309 0.509
Th4 0.439 0.925 0.214
Th5 0.561 0.075 0.786
Th6 0.691 0.691 0.491
Th7 0.925 0.439 0.214
Tl1 0.137 0.863 0.500
Tl2 0.863 0.137 0.500
Hg1 0.365 0.365 0.068
Hg2 0.635 0.635 0.932

## Properties
The formation energy is 0.10 eV per atom. As for the symmetry: No. 12.

[11]
Pa4Al16Co3: optimized geometry, GGA-PBE.

Lattice parameters (Å, degrees): 6.063 6.063 11.145 90.00 90.00 90.00
Atoms (fractional coordinates):
Pa1 0.000 0.500 0.191
Pa2 0.000 0.500 0.809
Pa3 0.500 0.000 0.191
Pa4 0.500 0.000 0.809
Al1 0.000 0.000 0.198
Al2 0.000 0.000 0.802
Al3 0.223 0.223 0.000
Al4 0.223 0.777 0.000
Al5 0.248 0.248 0.384
Al6 0.248 0.248 0.616
Al7 0.248 0.752 0.384
Al8 0.248 0.752 0.616
Al9 0.500 0.500 0.219
Al10 0.500 0.500 0.781
Al11 0.752 0.248 0.384
Al12 0.752 0.248 0.616
Al13 0.752 0.752 0.384
Al14 0.752 0.752 0.616
Al15 0.777 0.223 0.000
Al16 0.777 0.777 0.000
Co1 0.000 0.500 0.500
Co2 0.500 0.000 0.500
Co3 0.500 0.500 0.000

## Properties
The formation energy is -0.37 eV per atom. As for the symmetry: No. 123.

[12]
Sr2Sc2Al: optimized geometry, GGA-PBE.

Lattice parameters (Å, degrees): 4.423 4.423 16.612 90.00 90.00 90.00
Atoms (fractional coordinates):
Sr1 0.000 0.500 0.250
Sr2 0.000 0.500 0.750
Sr3 0.500 0.000 0.250
Sr4 0.500 0.000 0.750
Sc1 0.000 0.000 0.079
Sc2 0.000 0.000 0.921
Sc3 0.500 0.500 0.421
Sc4 0.500 0.500 0.579
Al1 0.000 0.000 0.500
Al2 0.500 0.500 0.000

## Properties
The formation energy is 0.74 eV per atom. As for the symmetry: No. 139. As for the distance to the lowest polymorph of the same formula: 530.7 meV/atom.